# 1
{"formula": "KMgSc", "functional": "PBE-GGA", "state": "relaxed", "cell": [[-1.726, 1.726, 8.367], [1.726, -1.726, 8.367], [1.726, 1.726, -8.367]], "species": ["K", "Mg", "Sc"], "frac_coords": [[0.000, 0.000, 0.000], [0.315, 0.315, 0.000], [0.698, 0.698, 0.000]]}

=====

# 2
{"formula": "KMgSc", "functional": "PBE-GGA", "state": "relaxed", "cell": [[3.464, 0.000, 0.000], [-1.732, 3.000, 0.000], [0.000, 0.000, 9.242]], "species": ["K", "Mg", "Sc"], "frac_coords": [[0.000, 0.000, 0.000], [0.333, 0.667, 0.358], [0.667, 0.333, 0.626]]}

=====

no.,electronic total energy (eV per atom),formation energy from the elements (eV/atom)
1,-2.677,0.331
2,-2.635,0.373